# 1
Computed, not measured: crystalline AlVCdI2 at its relaxed geometry at the GGA-PBE level of DFT.

The structure in CIF format:
```
data_AlVCdI2
_chemical_formula_sum 'Al1 V1 Cd1 I2'
_space_group_name_H-M_alt 'P 4/m m m'
_space_group_IT_number 123
_space_group_name_Hall '-P 4 2'
_cell_length_a 6.1097
_cell_length_b 6.1097
_cell_length_c 5.0796
_cell_angle_alpha 90.00
_cell_angle_beta 90.00
_cell_angle_gamma 90.00
loop_
_atom_site_label
_atom_site_type_symbol
_atom_site_fract_x
_atom_site_fract_y
_atom_site_fract_z
_atom_site_occupancy
Al1 Al 0.0000 0.0000 0.0000 1
V1 V 0.5000 0.5000 0.0000 1
Cd1 Cd 0.0000 0.0000 0.5000 1
I1 I 0.0000 0.5000 0.5000 1
```

Calculated values
DOS(E_F) (states/eV/cell): 7.9
Formation energy from raw total energies (eV per atom): 0.8567
Mass density (g/cm³): 3.89

=====

# 2
Computed, not measured: crystalline AlCdIn2 at its relaxed geometry at the GGA-PBE level of DFT.

The structure in CIF format:
```
data_AlCdIn2
_chemical_formula_sum 'Al2 Cd2 In4'
_space_group_name_H-M_alt 'C m m 2'
_space_group_IT_number 35
_cell_length_a 3.1989
_cell_length_b 5.5298
_cell_length_c 10.8648
_cell_angle_alpha 90.00
_cell_angle_beta 90.00
_cell_angle_gamma 90.00
loop_
_space_group_symop_operation_xyz
'x,y,z'
'-x,-y,z'
'-x,y,z'
'x,-y,z'
'x+1/2,y+1/2,z'
'-x+1/2,-y+1/2,z'
'-x+1/2,y+1/2,z'
'x+1/2,-y+1/2,z'
loop_
_atom_site_label
_atom_site_type_symbol
_atom_site_fract_x
_atom_site_fract_y
_atom_site_fract_z
_atom_site_occupancy
Al1 Al 0.0000 0.0000 0.0000 1
Cd1 Cd 0.0000 0.5000 0.7734 1
In1 In 0.0000 0.0000 0.5130 1
In2 In 0.0000 0.5000 0.2381 1
```

Calculated values
DOS(E_F) (states/eV/cell): 2.9
ΔH_f (0 K) (eV per atom): 0.13
Mass density (g/cm³): 6.38

=====

# 3
Computed, not measured: crystalline AlCd2In2 at its relaxed geometry at the GGA-PBE level of DFT.

The structure in CIF format:
```
data_AlCd2In2
_chemical_formula_sum 'Al2 Cd4 In4'
_space_group_name_H-M_alt 'P 4/m b m'
_space_group_IT_number 127
_space_group_name_Hall '-P 4 2ab'
_cell_length_a 7.4077
_cell_length_b 7.4077
_cell_length_c 4.5585
_cell_angle_alpha 90.00
_cell_angle_beta 90.00
_cell_angle_gamma 90.00
loop_
_atom_site_label
_atom_site_type_symbol
_atom_site_fract_x
_atom_site_fract_y
_atom_site_fract_z
_atom_site_occupancy
Al1 Al 0.0000 0.0000 0.0000 1
Cd1 Cd 0.1403 0.3597 0.0000 1
In1 In 0.1679 0.6679 0.5000 1
```

Calculated values
DOS(E_F) (states/eV/cell): 4.6
ΔH_f (0 K) (eV per atom): 0.17
Polymorph energy (0 for the lowest one) (meV/atom): 0.0
Mass density (g/cm³): 6.39

=====

# 4
Computed, not measured: crystalline Al3CdIn at its relaxed geometry at the GGA-PBE level of DFT.

The structure in CIF format:
```
data_Al3CdIn
_chemical_formula_sum 'Al3 Cd1 In1'
_space_group_name_H-M_alt 'P m -3 m'
_space_group_IT_number 221
_space_group_name_Hall '-P 4 2 3'
_cell_length_a 5.1262
_cell_length_b 5.1262
_cell_length_c 5.1262
_cell_angle_alpha 90.00
_cell_angle_beta 90.00
_cell_angle_gamma 90.00
loop_
_atom_site_label
_atom_site_type_symbol
_atom_site_fract_x
_atom_site_fract_y
_atom_site_fract_z
_atom_site_occupancy
Al1 Al 0.0000 0.0000 0.5000 1
Cd1 Cd 0.0000 0.0000 0.0000 1
In1 In 0.5000 0.5000 0.5000 1
```

Calculated values
DOS(E_F) (states/eV/cell): 3.0
ΔH_f (0 K) (eV per atom): 0.67
Polymorph energy (0 for the lowest one) (meV/atom): 0.0
Mass density (g/cm³): 3.80

=====

# 5
Computed, not measured: crystalline AlCdIn2 at its relaxed geometry at the GGA-PBE level of DFT.

The structure in CIF format:
```
data_AlCdIn2
_chemical_formula_sum 'Al1 Cd1 In2'
_space_group_name_H-M_alt 'P m m m'
_space_group_IT_number 47
_cell_length_a 3.0961
_cell_length_b 5.5562
_cell_length_c 5.6252
_cell_angle_alpha 90.00
_cell_angle_beta 90.00
_cell_angle_gamma 90.00
loop_
_space_group_symop_operation_xyz
'x,y,z'
'-x,-y,-z'
'-x,-y,z'
'x,y,-z'
'x,-y,-z'
'-x,y,z'
'-x,y,-z'
'x,-y,z'
loop_
_atom_site_label
_atom_site_type_symbol
_atom_site_fract_x
_atom_site_fract_y
_atom_site_fract_z
_atom_site_occupancy
Al1 Al 0.0000 0.0000 0.0000 1
Cd1 Cd 0.5000 0.0000 0.5000 1
In1 In 0.0000 0.5000 0.5000 1
In2 In 0.5000 0.5000 0.0000 1
```

Calculated values
DOS(E_F) (states/eV/cell): 1.4
ΔH_f (0 K) (eV per atom): 0.15
Mass density (g/cm³): 6.33

=====

# 6
Computed, not measured: crystalline Al2CdIn at its relaxed geometry at the GGA-PBE level of DFT.

The structure in CIF format:
```
data_Al2CdIn
_chemical_formula_sum 'Al2 Cd1 In1'
_space_group_name_H-M_alt 'P 1 2/m 1'
_space_group_IT_number 10
_cell_length_a 2.9881
_cell_length_b 5.4077
_cell_length_c 5.4007
_cell_angle_alpha 90.00
_cell_angle_beta 95.98
_cell_angle_gamma 90.00
loop_
_space_group_symop_operation_xyz
'x,y,z'
'-x,-y,-z'
'-x,y,-z'
'x,-y,z'
loop_
_atom_site_label
_atom_site_type_symbol
_atom_site_fract_x
_atom_site_fract_y
_atom_site_fract_z
_atom_site_occupancy
Al1 Al 0.1932 0.0000 0.2672 1
Cd1 Cd 0.0000 0.5000 0.0000 1
In1 In 0.5000 0.5000 0.5000 1
```

Calculated values
DOS(E_F) (states/eV/cell): 1.2
ΔH_f (0 K) (eV per atom): 0.19
Mass density (g/cm³): 5.38

=====

# 7
Computed, not measured: crystalline Al2CdIn at its relaxed geometry at the GGA-PBE level of DFT.

The structure in CIF format:
```
data_Al2CdIn
_chemical_formula_sum 'Al2 Cd1 In1'
_space_group_name_H-M_alt 'P -1'
_space_group_IT_number 2
_cell_length_a 2.9897
_cell_length_b 5.3885
_cell_length_c 5.4723
_cell_angle_alpha 79.99
_cell_angle_beta 88.51
_cell_angle_gamma 75.64
loop_
_space_group_symop_operation_xyz
'x,y,z'
'-x,-y,-z'
loop_
_atom_site_label
_atom_site_type_symbol
_atom_site_fract_x
_atom_site_fract_y
_atom_site_fract_z
_atom_site_occupancy
Al1 Al 0.2350 0.0054 0.2423 1
Cd1 Cd 0.5000 0.5000 0.0000 1
In1 In 0.0000 0.5000 0.5000 1
```

Calculated values
DOS(E_F) (states/eV/cell): 1.3
ΔH_f (0 K) (eV per atom): 0.16
Mass density (g/cm³): 5.55

=====

# 8
Computed, not measured: crystalline AlCdIn2 at its relaxed geometry at the GGA-PBE level of DFT.

The structure in CIF format:
```
data_AlCdIn2
_chemical_formula_sum 'Al4 Cd4 In8'
_space_group_name_H-M_alt 'F -4 3 m'
_space_group_IT_number 216
_space_group_name_Hall 'F -4 2 3'
_cell_length_a 7.2818
_cell_length_b 7.2818
_cell_length_c 7.2818
_cell_angle_alpha 90.00
_cell_angle_beta 90.00
_cell_angle_gamma 90.00
loop_
_atom_site_label
_atom_site_type_symbol
_atom_site_fract_x
_atom_site_fract_y
_atom_site_fract_z
_atom_site_occupancy
Al1 Al 0.0000 0.0000 0.0000 1
Cd1 Cd 0.2500 0.2500 0.7500 1
In1 In 0.0000 0.0000 0.5000 1
In2 In 0.2500 0.2500 0.2500 1
```

Calculated values
DOS(E_F) (states/eV/cell): 14.9
ΔH_f (0 K) (eV per atom): 0.19
Mass density (g/cm³): 6.35

=====

# 9
Computed, not measured: crystalline AlCdIn2 at its relaxed geometry at the GGA-PBE level of DFT.

The structure in CIF format:
```
data_AlCdIn2
_chemical_formula_sum 'Al1 Cd1 In2'
_space_group_name_H-M_alt 'P 4/m m m'
_space_group_IT_number 123
_space_group_name_Hall '-P 4 2'
_cell_length_a 3.3170
_cell_length_b 3.3170
_cell_length_c 8.5435
_cell_angle_alpha 90.00
_cell_angle_beta 90.00
_cell_angle_gamma 90.00
loop_
_atom_site_label
_atom_site_type_symbol
_atom_site_fract_x
_atom_site_fract_y
_atom_site_fract_z
_atom_site_occupancy
Al1 Al 0.0000 0.0000 0.0000 1
Cd1 Cd 0.0000 0.0000 0.5000 1
In1 In 0.5000 0.5000 0.2298 1
```

Calculated values
DOS(E_F) (states/eV/cell): 2.5
ΔH_f (0 K) (eV per atom): 0.12
Mass density (g/cm³): 6.52

=====

# 10
Computed, not measured: crystalline Al2CdIn at its relaxed geometry at the GGA-PBE level of DFT.

The structure in CIF format:
```
data_Al2CdIn
_chemical_formula_sum 'Al8 Cd4 In4'
_space_group_name_H-M_alt 'F -4 3 m'
_space_group_IT_number 216
_space_group_name_Hall 'F -4 2 3'
_cell_length_a 7.0202
_cell_length_b 7.0202
_cell_length_c 7.0202
_cell_angle_alpha 90.00
_cell_angle_beta 90.00
_cell_angle_gamma 90.00
loop_
_atom_site_label
_atom_site_type_symbol
_atom_site_fract_x
_atom_site_fract_y
_atom_site_fract_z
_atom_site_occupancy
Al1 Al 0.0000 0.0000 0.0000 1
Al2 Al 0.2500 0.2500 0.2500 1
Cd1 Cd 0.0000 0.0000 0.5000 1
In1 In 0.2500 0.2500 0.7500 1
```

Calculated values
DOS(E_F) (states/eV/cell): 12.3
ΔH_f (0 K) (eV per atom): 0.25
Mass density (g/cm³): 5.40

=====

Taking the records one at a time from the top gives final energy values of -12.6 -9.6 -10.2 -11.5 -9.5 -10.4 -10.5 -9.4 -9.6 -10.2 eV/f.u..